[1]
The following is a DFT calculation (PBE-GGA) of crystalline NaSr2LiPt at its relaxed geometry.

## Properties
final energy = -2.759 eV/atom
Fermi-level density of states = 0.566 states/eV per atom
E_form = -0.232 eV/atom

a b c (Å): 5.880 5.880 5.598
angles (deg): 90.00 90.00 90.00
Element x y z (fractional)
Sr 0.500 0.000 0.000
Sr 0.000 0.500 0.000
Li 0.500 0.500 0.500
Pt 0.000 0.000 0.000
Na 0.000 0.000 0.500



[2]
The following is a DFT calculation (PBE-GGA) of crystalline Y6Er19Sc4 at its relaxed geometry.

## Properties
final energy = -4.814 eV/atom
Fermi-level density of states = 1.658 states/eV per atom
E_form = 0.386 eV/atom

a b c (Å): 10.589 10.590 10.589
angles (deg): 109.47 109.47 109.47
Element x y z (fractional)
Y 0.369 0.500 0.869
Y 0.500 0.131 0.631
Y 0.500 0.869 0.369
Y 0.869 0.369 0.500
Y 0.131 0.631 0.500
Y 0.631 0.500 0.131
Er 0.790 0.980 0.323
Er 0.000 0.258 0.258
Er 0.742 0.000 0.742
Er 0.191 0.210 0.533
Er 0.677 0.657 0.467
Er 0.980 0.323 0.790
Er 0.533 0.191 0.210
Er 0.000 0.742 0.742
Er 0.657 0.467 0.677
Er 0.809 0.343 0.020
Er 0.467 0.677 0.657
Er 0.020 0.809 0.343
Er 0.343 0.020 0.809
Er 0.258 0.000 0.258
Er 0.323 0.790 0.980
Er 0.000 0.000 0.000
Er 0.742 0.742 0.000
Er 0.210 0.533 0.191
Er 0.258 0.258 0.000
Sc 0.355 0.355 0.355
Sc 0.000 0.000 0.645
Sc 0.000 0.645 0.000
Sc 0.645 0.000 0.000



[3]
The following is a DFT calculation (PBE-GGA) of crystalline BeCdOs3 at its relaxed geometry.

## Properties
final energy = -6.746 eV/atom
Fermi-level density of states = 0.973 states/eV per atom
E_form = 0.920 eV/atom

a b c (Å): 4.199 4.199 4.199
angles (deg): 90.00 90.00 90.00
Last column: magnetic moment on the atom in μB.
Element x y z (fractional)
Os 0.000 0.500 0.000  0.60
Os 0.000 0.000 0.500  0.43
Os 0.500 0.000 0.000  0.51
Be 0.000 0.000 0.000  -0.01
Cd 0.500 0.500 0.500  0.00



[4]
The following is a DFT calculation (PBE-GGA) of crystalline HgBr2 at its relaxed geometry.

## Properties
formation energy (no corrections) = -0.311 eV/atom
final energy = -1.526 eV/atom
Fermi-level density of states = 0.612 states/eV per atom

a b c (Å): 7.063 7.063 7.063
angles (deg): 90.00 90.00 90.00
Element x y z (fractional)
Br 0.653 0.847 0.847
Br 0.347 0.153 0.153
Br 0.653 0.653 0.347
Br 0.847 0.153 0.347
Br 0.153 0.653 0.153
Br 0.347 0.347 0.653
Br 0.847 0.347 0.847
Br 0.153 0.847 0.653
Hg 0.000 0.000 0.000
Hg 0.500 0.500 0.000
Hg 0.500 0.000 0.500
Hg 0.000 0.500 0.500